1.
## TcHF6 (GGA-PBE)

Data for a geometry-optimized TcHF6 structure.

Cell lengths 5.0947, 5.0969, 5.1244 Å; angles 93.78, 111.61, 117.11 degrees
With the nearest neighbours (Å) after each atom.
Space group P-1 (No. 2)
One atom of each set of equivalent atoms:
Tc: 0.0000 0.0000 0.0000 x1  6 F 1.86-2.02
H: 0.5000 0.0000 0.5000 x1  2 F 1.15
F: 0.0947 0.3610 0.2274 x2  1 Tc 1.86
F: 0.2007 0.2232 0.7857 x2  1 Tc 1.86
F: 0.4366 0.0631 0.2825 x2  1 H 1.15

2.
## Nb2ReGe2 (GGA-PBE)

Data for a geometry-optimized Nb2ReGe2 structure.

Summary:
DFT formation energy: -0.170 eV per atom
DOS(E_F): 7.76 states/eV/cell

Cell lengths 6.6609, 6.6609, 3.6702 Å; angles 90.00, 90.00, 90.00 degrees
With the nearest neighbours (Å) after each atom.
Space group P4/mbm (No. 127)
One atom of each set of equivalent atoms:
Nb: 0.1656 0.3344 0.0000 x4  6 Ge 2.61-2.73
Re: 0.0000 0.0000 0.5000 x2  4 Ge 2.58
Ge: 0.1373 0.6373 0.5000 x4  2 Re 2.58, 1 Ge 2.59, 6 Nb 2.61-2.73

no.,density (g/cm³),total energy (eV per cell),spin magnetization (μB per formula unit)
1,3.35,-40.08,2.00
2,10.55,-85.34,0.00